## HfAlC3 (meta-GGA SCAN)

Data for a crystal of HfAlC3 relaxed with PBEsol.

a = 4.227 Å, b = 4.227 Å, c = 4.227 Å
α = 90.00°, β = 90.00°, γ = 90.00°
Sites, in units of the cell vectors:
C1 0.500 0.000 0.000
C2 0.000 0.500 0.000
C3 0.000 0.000 0.500
Hf1 0.000 0.000 0.000
Al1 0.500 0.500 0.500

The symmetry is Pm-3m (221). For the total magnetization, the calculation gives 0.0 Bohr magnetons per cell. The energy of formation comes out at 2.03 eV/atom. As for the calculated volume: 15.1 Å³ per atom.

## RbCd3Cu (meta-GGA SCAN)

Data for a crystal of RbCd3Cu relaxed with PBEsol.

a = 6.470 Å, b = 6.470 Å, c = 6.470 Å
α = 90.00°, β = 90.00°, γ = 90.00°
Sites, in units of the cell vectors:
Rb1 0.000 0.000 0.000
Cd1 0.000 0.000 0.500
Cd2 0.500 0.000 0.000
Cd3 0.000 0.500 0.000
Cu1 0.500 0.500 0.500

The symmetry is Pm-3m (221). For the total magnetization, the calculation gives 0.1 Bohr magnetons per cell. For the relative energy among the computed polymorphs, the calculation gives 1111 meV per atom. The energy of formation comes out at 1.14 eV/atom. As for the calculated volume: 54.2 Å³ per atom.

## HoCuW2O8 (meta-GGA SCAN)

Data for a crystal of HoCuW2O8 relaxed with PBEsol.

a = 4.975 Å, b = 5.817 Å, c = 9.905 Å
α = 90.00°, β = 93.56°, γ = 90.00°
Sites, in units of the cell vectors:
O1 0.895 0.375 0.109
O2 0.412 0.636 0.141
O3 0.088 0.636 0.359
O4 0.912 0.364 0.641
O5 0.042 0.083 0.885
O6 0.105 0.625 0.891
O7 0.588 0.364 0.859
O8 0.060 0.116 0.406
O9 0.958 0.917 0.115
O10 0.940 0.884 0.594
O11 0.458 0.083 0.615
O12 0.542 0.917 0.385
O13 0.560 0.884 0.906
O14 0.605 0.375 0.391
O15 0.440 0.116 0.094
O16 0.395 0.625 0.609
W1 0.249 0.825 0.015
W2 0.751 0.175 0.985
W3 0.251 0.825 0.485
W4 0.749 0.175 0.515
Cu1 0.750 0.709 0.250
Cu2 0.250 0.291 0.750
Ho1 0.250 0.315 0.250
Ho2 0.750 0.685 0.750

The symmetry is P2/c (13). For the total magnetization, the calculation gives 0.0 Bohr magnetons per cell. As for the energy relative to the elements, uncorrected: -29.12 eV per formula unit. As for the calculated volume: 11.9 Å³ per atom.

## LuNiPb (meta-GGA SCAN)

Data for a crystal of LuNiPb relaxed with PBEsol.

a = 3.703 Å, b = 7.342 Å, c = 7.342 Å
α = 120.00°, β = 90.00°, γ = 90.00°
Sites, in units of the cell vectors:
Ni1 0.000 0.667 0.333
Ni2 0.500 0.000 0.000
Ni3 0.000 0.333 0.667
Lu1 0.500 0.598 0.000
Lu2 0.500 0.000 0.598
Lu3 0.500 0.402 0.402
Pb1 0.000 0.733 0.733
Pb2 0.000 0.267 0.000
Pb3 0.000 0.000 0.267

The symmetry is P-62m (189). For the total magnetization, the calculation gives 0.0 Bohr magnetons per cell. The energy of formation comes out at -0.53 eV/atom. As for the calculated volume: 19.2 Å³ per atom.

## V2Pb3O8 (meta-GGA SCAN)

Data for a crystal of V2Pb3O8 relaxed with PBEsol.

a = 5.620 Å, b = 5.620 Å, c = 7.431 Å
α = 67.74°, β = 67.74°, γ = 67.44°
Sites, in units of the cell vectors:
O1 0.654 0.755 0.329
O2 0.245 0.346 0.671
O3 0.701 0.246 0.296
O4 0.778 0.678 0.958
O5 0.256 0.659 0.238
O6 0.341 0.744 0.762
O7 0.322 0.222 0.042
O8 0.754 0.299 0.704
V1 0.411 0.403 0.796
V2 0.597 0.589 0.204
Pb1 0.837 0.723 0.610
Pb2 0.277 0.163 0.390
Pb3 0.004 0.996 0.000

The symmetry is C2 (5). For the total magnetization, the calculation gives 0.0 Bohr magnetons per cell. As for the energy relative to the elements, uncorrected: -26.47 eV per formula unit. As for the calculated volume: 14.8 Å³ per atom.

## CrAs3Pb (meta-GGA SCAN)

Data for a crystal of CrAs3Pb relaxed with PBEsol.

a = 4.712 Å, b = 4.712 Å, c = 4.712 Å
α = 90.00°, β = 90.00°, γ = 90.00°
Sites, in units of the cell vectors:
Cr1 0.000 0.000 0.000
As1 0.000 0.500 0.000
As2 0.500 0.000 0.000
As3 0.000 0.000 0.500
Pb1 0.500 0.500 0.500

The symmetry is Pm-3m (221). For the total magnetization, the calculation gives 1.5 Bohr magnetons per cell. The energy of formation comes out at 0.28 eV/atom. As for the calculated volume: 20.9 Å³ per atom.

## BaMgZr (meta-GGA SCAN)

Data for a crystal of BaMgZr relaxed with PBEsol.

a = 5.352 Å, b = 5.352 Å, c = 5.352 Å
α = 60.00°, β = 60.00°, γ = 60.00°
Sites, in units of the cell vectors:
Zr1 0.000 0.000 0.000
Mg1 0.250 0.250 0.250
Ba1 0.500 0.500 0.500

The symmetry is F-43m (216). For the total magnetization, the calculation gives 3.3 Bohr magnetons per cell. The energy of formation comes out at 0.89 eV/atom. As for the calculated volume: 36.1 Å³ per atom.

## TlInGe2 (meta-GGA SCAN)

Data for a crystal of TlInGe2 relaxed with PBEsol.

a = 5.040 Å, b = 5.040 Å, c = 5.040 Å
α = 60.00°, β = 60.00°, γ = 60.00°
Sites, in units of the cell vectors:
Tl1 0.500 0.500 0.500
In1 0.000 0.000 0.000
Ge1 0.750 0.750 0.750
Ge2 0.250 0.250 0.250

The symmetry is Fm-3m (225). For the total magnetization, the calculation gives 0.0 Bohr magnetons per cell. The energy of formation comes out at 0.35 eV/atom. As for the calculated volume: 22.6 Å³ per atom.